Material: CoSbPO2
Method: DFT, PBE+U
State: relaxed

Properties
ΔE to the lowest computed polymorph in kJ/mol of formula units: 0
Density of states at the Fermi level in states/eV per cell: 1.4

a b c (Å): 3.866 3.866 5.406
angles (deg): 90.00 90.00 90.00
Element x y z (fractional)
Co  0.000  0.000  0.000
Sb  0.500  0.500  0.500
P  0.500  0.500  0.000
O  0.000  0.500  0.500
O  0.500  0.000  0.500